[1]
Y2ZrTa after structural relaxation. Source: the Alexandria database, functional PBE.

Lattice parameters (Å, degrees): 3.251 3.251 32.794 90.00 90.00 120.00
Fractional positions:
Y (0.000, 0.000, 0.246)
Y (0.000, 0.000, 0.754)
Y (0.333, 0.667, 0.421)
Y (0.333, 0.667, 0.913)
Y (0.667, 0.333, 0.087)
Y (0.667, 0.333, 0.579)
Zr (0.000, 0.000, 0.000)
Zr (0.333, 0.667, 0.667)
Zr (0.667, 0.333, 0.333)
Ta (0.000, 0.000, 0.500)
Ta (0.333, 0.667, 0.167)
Ta (0.667, 0.333, 0.833)

Computed properties:
crystal system: trigonal
formation energy: 0.358 eV per atom
energy above the lowest structure with this stoichiometry: 195 meV per atom
total DFT energy (no corrections): -7.974 eV/atom
calculated density: 7.47 g/cm³
symmetry: R-3m (166)


[2]
Y4CrCd after structural relaxation. Source: the Alexandria database, functional PBE.

Lattice parameters (Å, degrees): 6.294 6.294 6.294 60.00 60.00 60.00
Fractional positions:
Y (0.125, 0.125, 0.125)
Y (0.125, 0.125, 0.625)
Y (0.125, 0.625, 0.125)
Y (0.625, 0.125, 0.125)
Cr (0.500, 0.500, 0.500)
Cd (0.750, 0.750, 0.750)

Computed properties:
crystal system: cubic
formation energy: 0.589 eV per atom
total DFT energy (no corrections): -5.477 eV/atom
calculated density: 4.90 g/cm³
symmetry: F-43m (216)


[3]
Na2In2H7 after structural relaxation. Source: the Alexandria database, functional PBE.

Lattice parameters (Å, degrees): 5.804 5.804 4.852 95.96 95.96 94.03
Fractional positions:
Na (0.222, 0.778, 0.000)
Na (0.778, 0.222, 0.000)
In (0.255, 0.255, 0.539)
In (0.745, 0.745, 0.461)
H (0.072, 0.414, 0.765)
H (0.073, 0.073, 0.264)
H (0.414, 0.072, 0.765)
H (0.500, 0.500, 0.500)
H (0.586, 0.928, 0.235)
H (0.927, 0.927, 0.736)
H (0.928, 0.586, 0.235)

Computed properties:
crystal system: monoclinic
total DFT energy (no corrections): -2.769 eV/atom
calculated density: 2.91 g/cm³
symmetry: C2/m (12)


[4]
AlHSe2 after structural relaxation. Source: the Alexandria database, functional PBE.

Lattice parameters (Å, degrees): 7.011 7.011 6.470 90.00 90.00 90.00
Fractional positions:
Al (0.000, 0.500, 0.250)
Al (0.000, 0.500, 0.750)
Al (0.500, 0.000, 0.250)
Al (0.500, 0.000, 0.750)
H (0.000, 0.000, 0.250)
H (0.000, 0.000, 0.750)
H (0.500, 0.500, 0.250)
H (0.500, 0.500, 0.750)
Se (0.182, 0.318, 0.000)
Se (0.182, 0.682, 0.500)
Se (0.318, 0.182, 0.500)
Se (0.318, 0.818, 0.000)
Se (0.682, 0.182, 0.000)
Se (0.682, 0.818, 0.500)
Se (0.818, 0.318, 0.500)
Se (0.818, 0.682, 0.000)

Computed properties:
crystal system: tetragonal
energy above the lowest structure with this stoichiometry: 760 meV per atom
total DFT energy (no corrections): -3.304 eV/atom
calculated density: 3.88 g/cm³
symmetry: I4/mcm (140)


[5]
Ho12MgFe6 after structural relaxation. Source: the Alexandria database, functional PBE.

Lattice parameters (Å, degrees): 8.382 8.382 8.382 109.47 109.47 109.47
Fractional positions:
Ho (0.104, 0.301, 0.804)
Ho (0.196, 0.497, 0.301)
Ho (0.196, 0.896, 0.699)
Ho (0.301, 0.196, 0.497)
Ho (0.301, 0.804, 0.104)
Ho (0.497, 0.301, 0.196)
Ho (0.503, 0.699, 0.804)
Ho (0.699, 0.196, 0.896)
Ho (0.699, 0.804, 0.503)
Ho (0.804, 0.104, 0.301)
Ho (0.804, 0.503, 0.699)
Ho (0.896, 0.699, 0.196)
Mg (0.000, 0.000, 0.000)
Fe (0.110, 0.500, 0.610)
Fe (0.390, 0.890, 0.500)
Fe (0.500, 0.390, 0.890)
Fe (0.500, 0.610, 0.110)
Fe (0.610, 0.110, 0.500)
Fe (0.890, 0.500, 0.390)

Computed properties:
crystal system: cubic
formation energy: -0.027 eV per atom
total DFT energy (no corrections): -5.674 eV/atom
calculated density: 8.57 g/cm³
symmetry: Im-3 (204)


[6]
Tb5ZrTl4 after structural relaxation. Source: the Alexandria database, functional PBE.

Lattice parameters (Å, degrees): 3.581 3.581 21.543 90.00 90.00 90.00
Fractional positions:
Tb (0.000, 0.000, 0.000)
Tb (0.000, 0.000, 0.199)
Tb (0.000, 0.000, 0.397)
Tb (0.000, 0.000, 0.603)
Tb (0.000, 0.000, 0.801)
Zr (0.500, 0.500, 0.500)
Tl (0.500, 0.500, 0.099)
Tl (0.500, 0.500, 0.297)
Tl (0.500, 0.500, 0.703)
Tl (0.500, 0.500, 0.901)

Computed properties:
crystal system: tetragonal
formation energy: -0.261 eV per atom
total DFT energy (no corrections): -4.377 eV/atom
calculated density: 10.24 g/cm³
symmetry: P4/mmm (123)